Record 1
Sm4Te3Pd | Alexandria | PBE | relaxed; E_form (uncorrected) = -1222 meV per atom; E = -5.409 eV per atom
1.0
8.939 0.000 0.000
0.000 12.494 0.000
0.000 0.000 4.304
Sm Te Pd
8 6 2
direct
0.000 0.243 0.000
0.000 0.757 0.000
0.223 0.000 0.500
0.277 0.500 0.500
0.500 0.257 0.000
0.500 0.743 0.000
0.723 0.500 0.500
0.777 0.000 0.500
0.000 0.500 0.000
0.250 0.250 0.500
0.250 0.750 0.500
0.500 0.000 0.000
0.750 0.250 0.500
0.750 0.750 0.500
0.000 0.000 0.000
0.500 0.500 0.000

---

Record 2
Sm5Te5Pd | Alexandria | PBE | relaxed; E_form (uncorrected) = -1255 meV per atom; E = -5.301 eV per atom
1.0
6.978 -3.137 0.000
6.978 3.137 0.000
-2.828 0.000 8.291
Sm Te Pd
5 5 1
direct
0.000 0.000 0.000
0.343 0.343 0.678
0.345 0.345 0.157
0.655 0.655 0.843
0.657 0.657 0.322
0.164 0.164 0.825
0.177 0.177 0.334
0.500 0.500 0.500
0.823 0.823 0.666
0.836 0.836 0.175
0.500 0.500 0.000

---

Record 3
SmTePd | Alexandria | PBE | relaxed; E_form (uncorrected) = -1051 meV per atom; E = -5.402 eV per atom
1.0
4.556 0.000 0.000
-2.278 3.946 0.000
0.000 0.000 4.016
Sm Te Pd
1 1 1
direct
0.000 0.000 0.000
0.667 0.333 0.500
0.333 0.667 0.500

---

Record 4
SmTe3Pd3 | Alexandria | PBE | relaxed; E_form (uncorrected) = -231 meV per atom; E = -4.477 eV per atom
1.0
7.331 0.000 0.000
0.000 7.331 0.000
0.000 0.000 7.331
Sm Te Pd
2 6 6
direct
0.000 0.000 0.000
0.500 0.500 0.500
0.000 0.250 0.500
0.000 0.750 0.500
0.250 0.500 0.000
0.500 0.000 0.250
0.500 0.000 0.750
0.750 0.500 0.000
0.000 0.500 0.250
0.000 0.500 0.750
0.250 0.000 0.500
0.500 0.250 0.000
0.500 0.750 0.000
0.750 0.000 0.500